Material: BeFeAsW
Method: DFT, PBE
State: relaxed

ΔE to the lowest computed polymorph: 0 meV/atom
energy: -7.0957 eV per atom
size of the total moment: 1.80 μB/f.u.

a = 5.8309 Å, b = 5.8309 Å, c = 5.8309 Å
α = 90.00°, β = 90.00°, γ = 90.00°
Element x y z (fractional)
1 Be 0.0000 0.0000 0.0000
2 Be 0.0000 0.5000 0.5000
3 Be 0.5000 0.0000 0.5000
4 Be 0.5000 0.5000 0.0000
5 Fe 0.2500 0.2500 0.2500
6 Fe 0.2500 0.7500 0.7500
7 Fe 0.7500 0.2500 0.7500
8 Fe 0.7500 0.7500 0.2500
9 As 0.0000 0.0000 0.5000
10 As 0.0000 0.5000 0.0000
11 As 0.5000 0.0000 0.0000
12 As 0.5000 0.5000 0.5000
13 W 0.2500 0.2500 0.7500
14 W 0.2500 0.7500 0.2500
15 W 0.7500 0.2500 0.2500
16 W 0.7500 0.7500 0.7500